Density functional theory data (GGA-PBEsol) for crystalline Ba2CaI6 at its relaxed geometry.

Computed properties:
Crystal system: monoclinic
Formation energy from raw total energies, eV per atom: -1.70

```
Ba2CaI6
1.0
-4.112 4.892 -6.800
3.063 -7.191 -7.025
-12.390 -7.817 1.868
Ba Ca I
8 4 24
Cartesian
-11.210 -8.504 -2.883
-2.954 -4.234 -2.690
-4.683 0.269 -4.808
-10.174 -1.664 -4.991
-3.264 -8.452 -6.966
-8.755 -10.385 -7.150
-10.484 -5.882 -9.267
-2.227 -1.612 -9.074
-7.429 -5.343 -3.831
-14.556 -4.109 -5.037
1.118 -6.007 -6.920
-6.009 -4.773 -8.126
-8.653 -4.538 -6.531
-5.443 -1.782 -7.534
-1.975 -2.302 -5.524
-5.639 -6.081 -1.571
-3.748 1.667 -8.679
-12.528 -3.762 -7.259
-10.257 -4.739 -2.933
-13.858 -6.331 -3.184
-6.658 -2.338 -3.398
-7.994 1.112 -5.831
-3.293 -0.877 -1.780
-11.801 -6.735 0.194
-1.637 -3.381 -12.151
-10.145 -9.239 -10.177
-5.444 -11.228 -6.126
-6.780 -7.778 -8.560
0.420 -3.785 -8.774
-3.181 -5.377 -9.025
-0.910 -6.355 -4.699
-9.690 -11.783 -3.279
-7.798 -4.035 -10.387
-11.463 -7.814 -6.433
-7.995 -8.335 -4.424
-4.784 -5.578 -5.426
```


Density functional theory data (GGA-PBEsol) for crystalline Mg2AlSb at its relaxed geometry.

Computed properties:
Crystal system: orthorhombic
Formation energy from raw total energies, eV per atom: 0.00

```
Mg2AlSb
1.0
-1.224 2.947 0.038
-0.598 -0.186 -4.881
-4.331 -3.567 3.148
Sb Mg Al
1 2 1
Cartesian
-4.921 -2.053 0.681
-0.371 -0.155 0.051
-2.811 -1.141 -2.093
-3.293 0.355 0.390
```


Density functional theory data (GGA-PBEsol) for crystalline MnBF2 at its relaxed geometry.

Computed properties:
Crystal system: cubic
Formation energy from raw total energies, eV per atom: -0.07

```
MnBF2
1.0
3.889 0.000 0.000
1.944 3.368 0.000
1.944 1.123 3.175
B Mn F
1 1 2
Cartesian
0.000 0.000 0.000
3.889 2.245 1.588
1.944 1.123 0.794
5.833 3.368 2.381
```


Density functional theory data (GGA-PBEsol) for crystalline Ca2NiSb at its relaxed geometry.

Computed properties:
Crystal system: tetragonal
Formation energy from raw total energies, eV per atom: -0.28

```
Ca2NiSb
1.0
-0.058 -4.325 0.506
3.758 -0.305 -2.179
0.574 2.764 4.955
Sb Ca Ni
1 2 1
Cartesian
3.091 0.072 0.970
0.000 0.000 0.000
1.183 -1.938 2.312
1.850 -2.315 -0.836
```


Density functional theory data (GGA-PBEsol) for crystalline ScCdAu2 at its relaxed geometry.

Computed properties:
Crystal system: tetragonal
ΔE_f, eV/atom: -0.529

```
ScCdAu2
1.0
4.240 0.000 0.000
0.000 4.240 0.000
-2.120 -2.120 4.025
Au Cd Sc
2 1 1
Cartesian
2.120 2.120 0.000
2.120 0.000 2.012
0.000 0.000 0.000
0.000 2.120 2.012
```


Density functional theory data (GGA-PBEsol) for crystalline MnCoRu at its relaxed geometry.

Computed properties:
Crystal system: cubic
ΔE_f, eV/atom: 0.799

```
MnCoRu
1.0
3.884 0.000 0.000
1.942 3.363 0.000
1.942 1.121 3.171
Co Mn Ru
1 1 1
Cartesian
0.000 0.000 0.000
3.884 2.242 1.586
1.942 1.121 0.793
```


Density functional theory data (GGA-PBEsol) for crystalline MgCd2Ag at its relaxed geometry.

Computed properties:
Crystal system: orthorhombic
ΔE_f, eV/atom: -0.112

```
MgCd2Ag
1.0
3.363 0.000 0.000
0.000 3.689 0.000
0.000 0.000 6.180
Mg Ag Cd
1 1 2
Cartesian
0.000 0.000 3.179
1.682 1.844 4.589
0.000 0.000 6.118
1.682 1.844 1.564
```


Density functional theory data (GGA-PBEsol) for crystalline Sb2TeHIr at its relaxed geometry.

Computed properties:
Crystal system: tetragonal

```
Sb2TeHIr
1.0
5.012 0.000 0.000
0.000 5.012 0.000
0.000 0.000 5.520
Sb Ir Te H
2 1 1 1
Cartesian
0.000 2.506 0.000
2.506 0.000 0.000
0.000 0.000 0.000
0.000 0.000 2.760
2.506 2.506 2.760
```


Density functional theory data (GGA-PBEsol) for crystalline ReAgCl3 at its relaxed geometry.

Computed properties:
Crystal system: cubic
Formation energy from raw total energies, eV per atom: 0.97

```
ReAgCl3
1.0
4.936 0.000 0.000
0.000 4.936 0.000
0.000 0.000 4.936
Re Ag Cl
1 1 3
Cartesian
2.468 2.468 2.468
0.000 0.000 0.000
0.000 2.468 0.000
0.000 0.000 2.468
2.468 0.000 0.000
```


Density functional theory data (GGA-PBEsol) for crystalline Ti3MnF at its relaxed geometry.

Computed properties:
Crystal system: cubic
Formation energy from raw total energies, eV per atom: -0.48

```
Ti3MnF
1.0
4.098 0.000 0.000
0.000 4.098 0.000
0.000 0.000 4.098
F Mn Ti
1 1 3
Cartesian
0.000 0.000 0.000
2.049 2.049 2.049
0.000 2.049 0.000
0.000 0.000 2.049
2.049 0.000 0.000
```


Density functional theory data (GGA-PBEsol) for crystalline U2InPt2 at its relaxed geometry.

Computed properties:
Crystal system: tetragonal
ΔE_f, eV/atom: -0.409

```
U2InPt2
1.0
3.557 0.000 0.000
0.000 7.675 0.000
0.000 0.000 7.675
U Pt In
4 4 2
Cartesian
1.778 6.384 5.129
1.778 2.546 6.384
1.778 1.292 2.546
1.778 5.129 1.292
0.000 1.027 4.864
0.000 4.864 6.648
0.000 2.811 1.027
0.000 6.648 2.811
0.000 3.838 3.838
0.000 0.000 0.000
```


Density functional theory data (GGA-PBEsol) for crystalline Cs2ZnSn3Se8 at its relaxed geometry.

Computed properties:
Crystal system: orthorhombic
Formation energy from raw total energies, eV per atom: -0.65

```
Cs2ZnSn3Se8
1.0
7.767 0.000 0.000
0.000 12.492 0.000
0.000 0.000 18.308
Cs Zn Sn Se
8 4 12 32
Cartesian
5.820 7.789 0.955
5.830 4.703 10.109
1.936 10.949 17.352
1.947 1.543 8.198
1.689 10.178 6.237
2.195 2.314 15.391
5.572 8.560 12.071
6.078 3.932 2.917
7.654 6.251 6.334
3.996 6.241 15.488
3.771 12.487 11.974
0.112 0.005 2.820
5.883 0.694 5.840
5.767 11.799 14.994
1.999 5.552 12.467
1.884 6.940 3.313
5.610 11.571 8.866
6.040 0.921 18.020
1.726 7.168 9.441
2.157 5.325 0.288
3.882 12.347 2.737
0.001 0.146 11.890
7.766 6.392 15.571
3.884 6.100 6.417
3.978 7.799 8.383
7.672 4.694 17.537
0.095 10.940 9.925
3.789 1.552 0.771
7.416 7.820 8.221
4.234 4.672 17.375
3.533 10.918 10.086
0.351 1.574 0.932
5.974 10.970 2.867
5.676 1.523 12.021
2.090 7.769 15.440
1.793 4.724 6.286
5.785 7.933 15.614
5.865 4.559 6.460
1.902 10.806 2.694
1.982 1.687 11.847
4.008 7.791 4.452
7.642 4.701 13.606
0.124 10.947 13.856
3.759 1.545 4.702
7.454 7.610 4.278
4.196 4.883 13.432
3.570 11.129 14.030
0.313 1.364 4.876
5.729 1.585 8.273
5.921 10.907 17.427
1.846 4.661 10.035
2.038 7.831 0.881
5.639 10.691 6.443
6.011 1.801 15.597
1.756 8.047 11.865
2.127 4.445 2.711
```


Number 1: electronic total energy -129.28 eV for the cell shown. Number 2: electronic total energy -12.10 eV for the cell shown. Number 3: electronic total energy -20.93 eV for the cell shown. Number 4: electronic total energy -16.10 eV for the cell shown. Number 5: electronic total energy -17.76 eV for the cell shown. Number 6: electronic total energy -25.27 eV for the cell shown. Number 7: electronic total energy -7.87 eV for the cell shown. Number 8: electronic total energy -20.92 eV for the cell shown. Number 9: electronic total energy -17.79 eV for the cell shown. Number 10: electronic total energy -39.07 eV for the cell shown. Number 11: electronic total energy -86.54 eV for the cell shown. Number 12: electronic total energy -224.31 eV for the cell shown.